Density functional theory data (PBE) for a geometry-optimized ScPH4O6 structure.

Results
E_tot = -6.5570 eV per atom
DOS at the Fermi energy = 0.000 states/eV per atom

Cell: 5.4567 10.4089 10.3124 Å, 90.00 119.58 90.00°
Last column: nearest neighbours and their distance in Å.
Space group P2_1/c (No. 14)
Symmetry-distinct sites (fractional):
Sc  0.1210  0.1732  0.2063 x4  6 O 2.08-2.17
P  0.2710  0.6444  0.6794 x4  4 O 1.55-1.56
H  0.0894  0.0441  0.7540 x4  1 O 1.00
H  0.3565  0.5441  0.2877 x4  1 O 0.99
H  0.3691  0.1639  0.5270 x4  1 O 0.99
H  0.4093  0.6957  0.0255 x4  1 O 1.00
O  0.0739  0.6766  0.7437 x4  1 P 1.55, 1 H 1.65
O  0.1515  0.7020  0.5207 x4  1 P 1.55
O  0.1554  0.5470  0.2618 x4  2 H 0.99-1.00
O  0.2989  0.0038  0.1758 x4  1 P 1.55
O  0.4075  0.1522  0.4436 x4  2 H 0.99-1.00
O  0.4343  0.2045  0.7167 x4  1 P 1.56